No. 1
## SrPb2IO8 (PBE)

Data for crystalline SrPb2IO8 at its relaxed geometry.

Computed properties:
Calculated total energy ... -61.89 eV per cell
Density of states at the Fermi level ... 2.3 states/eV/f.u.
M_tot ... 0.0 μB/cell

a b c (Å): 5.115 7.048 5.117
angles (deg): 90.00 91.47 90.00
Space group P2/m (No. 10)
Unique sites:
Sr: 0.000 0.000 0.000 x1
Pb: 0.500 0.250 0.500 x2
I: 0.000 0.500 0.000 x1
O: 0.185 0.302 0.183 x4
O: 0.273 0.500 0.725 x2
O: 0.319 0.000 0.676 x2


No. 2
## SrPbIO2 (PBE)

Data for crystalline SrPbIO2 at its relaxed geometry.

Computed properties:
Calculated total energy ... -21.08 eV per cell
Density of states at the Fermi level ... 0.8 states/eV/f.u.
M_tot ... 0.0 μB/cell

a b c (Å): 4.594 4.594 6.037
angles (deg): 90.00 90.00 90.00
Space group P4/mmm (No. 123)
Unique sites:
Sr: 0.000 0.000 0.000 x1
Pb: 0.500 0.500 0.500 x1
I: 0.500 0.500 0.000 x1
O: 0.000 0.500 0.500 x2


No. 3
## SrPbIO6 (PBE)

Data for crystalline SrPbIO6 at its relaxed geometry.

Computed properties:
Calculated total energy ... -45.60 eV per cell
Density of states at the Fermi level ... 8.4 states/eV/f.u.
M_tot ... 1.0 μB/cell

a b c (Å): 5.9275 5.9275 4.9910
angles (deg): 90.00 90.00 120.00
Space group P312 (No. 149)
Unique sites:
Sr: 0.0000 0.0000 0.0000 x1
Pb: 0.6667 0.3333 0.5000 x1
I: 0.3333 0.6667 0.0000 x1
O: 0.0643 0.4036 0.2159 x6


No. 4
## SrPbIO2 (PBE)

Data for crystalline SrPbIO2 at its relaxed geometry.

Computed properties:
Calculated total energy ... -98.90 eV per cell
Density of states at the Fermi level ... 1.9 states/eV/f.u.
M_tot ... 0.0 μB/cell

a b c (Å): 5.959 13.786 5.981
angles (deg): 90.00 90.00 90.00
Space group Cmcm (No. 63)
Unique sites:
Sr: 0.000 0.094 0.250 x4
Pb: 0.000 0.433 0.250 x4
I: 0.000 0.249 0.750 x4
O: 0.237 0.500 0.000 x8


No. 5
## SrPbI2O (PBE)

Data for crystalline SrPbI2O at its relaxed geometry.

Computed properties:
Calculated total energy ... -17.43 eV per cell
Density of states at the Fermi level ... 2.3 states/eV/f.u.
M_tot ... 0.0 μB/cell

a b c (Å): 6.255 6.255 4.438
angles (deg): 90.00 90.00 90.00
Space group P4/mmm (No. 123)
Unique sites:
Sr: 0.000 0.000 0.000 x1
Pb: 0.500 0.500 0.500 x1
I: 0.000 0.500 0.000 x2
O: 0.000 0.000 0.500 x1


No. 6
## SrPbIO2 (PBE)

Data for crystalline SrPbIO2 at its relaxed geometry.

Computed properties:
Calculated total energy ... -20.13 eV per cell
Density of states at the Fermi level ... 2.2 states/eV/f.u.
M_tot ... 1.0 μB/cell

a b c (Å): 4.755 4.755 6.261
angles (deg): 90.00 90.00 90.00
Space group P4/mmm (No. 123)
Unique sites:
Sr: 0.000 0.000 0.000 x1
Pb: 0.500 0.500 0.500 x1
I: 0.000 0.000 0.500 x1
O: 0.000 0.500 0.000 x2